Record 1
Entry from OQMD: crystalline Hf8Bi2C3N3 at its relaxed geometry (PBE).

Calculated values
Volume (A^3/atom): 14.88
Total magnetic moment (Bohr magnetons per cell): 0.00
Crystal system: trigonal
Energy (eV per atom): -9.779

Cell lengths 3.3129, 3.3129, 25.0485 Å; angles 90.00, 90.00, 120.00 degrees
Last column: nearest neighbours and their distance in Å.
Fractional coordinates of all 16 atoms:
N  0.0000  0.0000  0.5000  6 Hf 2.33
C  0.6667  0.3333  0.1082  6 Hf 2.23-2.38
N  0.6667  0.3333  0.3990  6 Hf 2.26-2.28
C  0.0000  0.0000  0.0000  6 Hf 2.31
Hf  0.0000  0.0000  0.3491  3 N 2.28
Hf  0.6667  0.3333  0.5530  6 N 2.26-2.33
N  0.3333  0.6667  0.6010  6 Hf 2.26-2.28
C  0.3333  0.6667  0.8918  6 Hf 2.23-2.38
Hf  0.3333  0.6667  0.4470  6 N 2.26-2.33
Bi  0.3333  0.6667  0.2517  6 Hf 3.10-3.11, 6 Bi 3.31
Hf  0.0000  0.0000  0.6509  3 N 2.28
Hf  0.3333  0.6667  0.0514  6 C 2.31-2.38
Hf  0.6667  0.3333  0.9486  6 C 2.31-2.38
Bi  0.6667  0.3333  0.7483  6 Hf 3.10-3.11, 6 Bi 3.31
Hf  0.0000  0.0000  0.1537  3 C 2.23
Hf  0.0000  0.0000  0.8463  3 C 2.23

Record 2
Entry from OQMD: crystalline Hf4Bi2CN at its relaxed geometry (PBE).

Calculated values
Volume (A^3/atom): 17.96
Total magnetic moment (Bohr magnetons per cell): 0.02
Crystal system: trigonal
Energy (eV per atom): -8.883

Cell lengths 3.4561, 3.4561, 13.8932 Å; angles 90.00, 90.00, 120.00 degrees
Last column: nearest neighbours and their distance in Å.
Fractional coordinates of all 8 atoms:
N  0.0000  0.0000  0.5000  6 Hf 2.28
Hf  0.3333  0.6667  0.0834  3 C 2.31
Bi  0.6667  0.3333  0.2537  6 Hf 3.06-3.09
Hf  0.6667  0.3333  0.5796  3 N 2.28
Bi  0.3333  0.6667  0.7463  6 Hf 3.06-3.09
Hf  0.3333  0.6667  0.4204  3 N 2.28
Hf  0.6667  0.3333  0.9166  3 C 2.31
C  0.0000  0.0000  0.0000  6 Hf 2.31

Record 3
Entry from OQMD: crystalline Hf4Nb2Bi3C3 at its relaxed geometry (PBE).

Calculated values
Volume (A^3/atom): 17.91
Total magnetic moment (Bohr magnetons per cell): 0.00
Crystal system: monoclinic
Energy (eV per atom): -8.787

Cell lengths 5.9718, 5.9718, 14.3189 Å; angles 77.97, 77.97, 60.17 degrees
Last column: nearest neighbours and their distance in Å.
Fractional coordinates of all 24 atoms:
Hf  0.8047  0.9736  0.5826  3 C 2.28-2.30
Bi  0.5836  0.7416  0.2500  4 Hf 3.08-3.09, 2 Nb 3.10-3.11, 2 Bi 3.36-3.37
Bi  0.0912  0.9088  0.7500  4 Hf 3.08, 2 Nb 3.12, 2 Bi 3.37
Nb  0.6403  0.4747  0.0753  3 C 2.26-2.27
C  0.0000  0.5000  0.0000  2 Nb 2.26, 4 Hf 2.30
Bi  0.4164  0.2584  0.7500  4 Hf 3.08-3.09, 2 Nb 3.10-3.11, 2 Bi 3.36-3.37
Nb  0.4748  0.6403  0.5753  3 C 2.26-2.28
C  0.5000  0.0000  0.5000  2 Nb 2.26, 4 Hf 2.30
C  0.1603  0.6695  0.5001  2 Nb 2.27-2.28, 4 Hf 2.28-2.30
Hf  0.8598  0.6946  0.4175  3 C 2.28-2.30
Bi  0.2584  0.4164  0.2500  4 Hf 3.08-3.09, 2 Nb 3.10-3.11, 2 Bi 3.36-3.37
C  0.6695  0.1603  0.0000  2 Nb 2.27, 4 Hf 2.28-2.30
Hf  0.3054  0.1402  0.0825  3 C 2.28-2.30
Hf  0.9736  0.8047  0.0826  3 C 2.28-2.30
Hf  0.0264  0.1953  0.9174  3 C 2.28-2.30
Hf  0.1953  0.0264  0.4174  3 C 2.28-2.30
Hf  0.6946  0.8598  0.9175  3 C 2.28-2.30
Bi  0.9088  0.0912  0.2500  4 Hf 3.08, 2 Nb 3.12, 2 Bi 3.37
Nb  0.3597  0.5253  0.9247  3 C 2.26-2.27
Nb  0.5252  0.3597  0.4247  3 C 2.26-2.28
Bi  0.7416  0.5836  0.7500  4 Hf 3.08-3.09, 2 Nb 3.10-3.11, 2 Bi 3.36-3.37
C  0.3305  0.8397  0.0000  2 Nb 2.27, 4 Hf 2.28-2.30
C  0.8397  0.3305  0.4999  2 Nb 2.27-2.28, 4 Hf 2.28-2.30
Hf  0.1402  0.3054  0.5825  3 C 2.28-2.30

Record 4
Entry from OQMD: crystalline Hf2Nb4Bi3C3 at its relaxed geometry (PBE).

Calculated values
Volume (A^3/atom): 17.49
Total magnetic moment (Bohr magnetons per cell): 0.01
Crystal system: monoclinic
Energy (eV per atom): -8.697

Cell lengths 5.9581, 5.9581, 14.0646 Å; angles 102.19, 102.19, 60.11 degrees
Last column: nearest neighbours and their distance in Å.
Fractional coordinates of all 24 atoms:
C  0.5000  0.0000  0.0000  4 Nb 2.24-2.25, 2 Hf 2.29
Bi  0.2410  0.4170  0.2505  2 Hf 3.05, 4 Nb 3.08, 4 Bi 3.39-3.40
C  0.8273  0.3358  0.0000  4 Nb 2.25-2.26, 2 Hf 2.27-2.28
Hf  0.4724  0.6395  0.9158  3 C 2.27-2.29
C  0.6642  0.1727  0.5000  4 Nb 2.25-2.26, 2 Hf 2.27-2.28
Nb  0.1908  0.0275  0.0763  3 C 2.24-2.26
Bi  0.4170  0.2410  0.7505  2 Hf 3.05, 4 Nb 3.08, 4 Bi 3.39-3.40
Nb  0.8092  0.9725  0.9237  3 C 2.24-2.26
C  0.1727  0.6642  0.0000  4 Nb 2.25-2.26, 2 Hf 2.27-2.28
Nb  0.9725  0.8092  0.4237  3 C 2.24-2.26
Bi  0.9252  0.0748  0.2500  2 Hf 3.05, 4 Nb 3.07, 4 Bi 3.39-3.40
Hf  0.6395  0.4724  0.4158  3 C 2.27-2.29
Hf  0.5276  0.3605  0.0842  3 C 2.27-2.29
Nb  0.8608  0.6918  0.0763  3 C 2.25-2.26
Nb  0.0275  0.1908  0.5763  3 C 2.24-2.26
Nb  0.6918  0.8608  0.5763  3 C 2.25-2.26
Bi  0.0748  0.9252  0.7500  2 Hf 3.05, 4 Nb 3.07, 4 Bi 3.39-3.40
Bi  0.5830  0.7590  0.2495  2 Hf 3.05, 4 Nb 3.08, 4 Bi 3.39-3.40
Nb  0.3082  0.1392  0.4237  3 C 2.25-2.26
Bi  0.7590  0.5830  0.7495  2 Hf 3.05, 4 Nb 3.08, 4 Bi 3.39-3.40
Hf  0.3605  0.5276  0.5842  3 C 2.27-2.29
C  0.3358  0.8273  0.5000  4 Nb 2.25-2.26, 2 Hf 2.27-2.28
C  0.0000  0.5000  0.5000  4 Nb 2.24-2.25, 2 Hf 2.29
Nb  0.1392  0.3082  0.9237  3 C 2.25-2.26

Record 5
Entry from OQMD: crystalline Hf4Bi2PC at its relaxed geometry (PBE).

Calculated values
Volume (A^3/atom): 19.84
Total magnetic moment (Bohr magnetons per cell): 0.00
Crystal system: trigonal
Energy (eV per atom): -8.450

Cell lengths 3.5958, 3.5958, 14.1751 Å; angles 90.00, 90.00, 120.00 degrees
Last column: nearest neighbours and their distance in Å.
Fractional coordinates of all 8 atoms:
P  0.0000  0.0000  0.0000  6 Hf 2.52
Hf  0.3333  0.6667  0.5800  3 C 2.37
Bi  0.3333  0.6667  0.2579  6 Hf 3.05-3.10
Bi  0.6667  0.3333  0.7421  6 Hf 3.05-3.10
Hf  0.3333  0.6667  0.8994  3 P 2.52
Hf  0.6667  0.3333  0.4200  3 C 2.37
C  0.0000  0.0000  0.5000  6 Hf 2.37
Hf  0.6667  0.3333  0.1006  3 P 2.52

Record 6
Entry from OQMD: crystalline Hf4BiC2S at its relaxed geometry (PBE).

Calculated values
Volume (A^3/atom): 16.59
Total magnetic moment (Bohr magnetons per cell): 0.00
Crystal system: hexagonal
Energy (eV per atom): -9.272

Cell lengths 3.3984, 3.3984, 13.2681 Å; angles 90.00, 90.00, 120.00 degrees
Last column: nearest neighbours and their distance in Å.
Fractional coordinates of all 8 atoms:
Hf  0.6667  0.3333  0.1840  3 C 2.29
S  0.6667  0.3333  0.5000  6 Hf 2.66
C  0.3333  0.6667  0.2729  6 Hf 2.29-2.31
Bi  0.0000  0.0000  0.0000  6 Hf 3.13, 6 Bi 3.40
Hf  0.6667  0.3333  0.8160  3 C 2.29
C  0.3333  0.6667  0.7271  6 Hf 2.29-2.31
Hf  0.0000  0.0000  0.3642  3 C 2.31
Hf  0.0000  0.0000  0.6358  3 C 2.31

Record 7
Entry from OQMD: crystalline Hf4BiSbC2 at its relaxed geometry (PBE).

Calculated values
Volume (A^3/atom): 17.90
Total magnetic moment (Bohr magnetons per cell): 0.00
Crystal system: hexagonal
Energy (eV per atom): -8.978

Cell lengths 3.4278, 3.4278, 14.0759 Å; angles 90.00, 90.00, 120.00 degrees
Last column: nearest neighbours and their distance in Å.
Fractional coordinates of all 8 atoms:
Hf  0.0000  0.0000  0.3402  3 C 2.31
C  0.3333  0.6667  0.7451  6 Hf 2.30-2.31
Bi  0.0000  0.0000  0.0000  6 Hf 3.13, 6 Bi 3.43
Hf  0.6667  0.3333  0.8278  3 C 2.30
Hf  0.6667  0.3333  0.1722  3 C 2.30
C  0.3333  0.6667  0.2549  6 Hf 2.30-2.31
Sb  0.6667  0.3333  0.5000  6 Hf 3.00
Hf  0.0000  0.0000  0.6598  3 C 2.31

Record 8
Entry from OQMD: crystalline Hf4SiBiC2 at its relaxed geometry (PBE).

Calculated values
Volume (A^3/atom): 16.93
Total magnetic moment (Bohr magnetons per cell): 0.00
Crystal system: hexagonal
Energy (eV per atom): -9.141

Cell lengths 3.3479, 3.3479, 13.9561 Å; angles 90.00, 90.00, 120.00 degrees
Last column: nearest neighbours and their distance in Å.
Fractional coordinates of all 8 atoms:
Hf  0.0000  0.0000  0.6470  3 C 2.31
Bi  0.0000  0.0000  0.0000  6 Hf 3.13, 6 Bi 3.35
Hf  0.6667  0.3333  0.8233  3 C 2.27
Si  0.6667  0.3333  0.5000  6 Hf 2.82
C  0.3333  0.6667  0.2626  6 Hf 2.27-2.31
Hf  0.0000  0.0000  0.3530  3 C 2.31
C  0.3333  0.6667  0.7374  6 Hf 2.27-2.31
Hf  0.6667  0.3333  0.1767  3 C 2.27